[1]
Material: KTaAl
Method: DFT, GGA-PBE
State: optimized geometry

Properties
Magnetization = 1.01 μB/f.u.
VASP energy = -3.92 eV per atom
Energy above the most stable polymorph in this dataset = 0 meV per atom

Cell and atoms, written as CIF:
```
data_KTaAl
_chemical_formula_sum 'K4 Ta4 Al4'
_cell_length_a 6.9250
_cell_length_b 6.9250
_cell_length_c 6.9250
_cell_angle_alpha 90.00
_cell_angle_beta 90.00
_cell_angle_gamma 90.00
_space_group_name_H-M_alt 'P 1'
_space_group_IT_number 1
loop_
_space_group_symop_operation_xyz
'x,y,z'
loop_
_atom_site_label
_atom_site_fract_x
_atom_site_fract_y
_atom_site_fract_z
K1 0.0000 0.0000 0.0000
K2 0.0000 0.5000 0.5000
K3 0.5000 0.0000 0.5000
K4 0.5000 0.5000 0.0000
Ta1 0.0000 0.0000 0.5000
Ta2 0.0000 0.5000 0.0000
Ta3 0.5000 0.0000 0.0000
Ta4 0.5000 0.5000 0.5000
Al1 0.2500 0.2500 0.2500
Al2 0.2500 0.7500 0.7500
Al3 0.7500 0.2500 0.7500
Al4 0.7500 0.7500 0.2500
```


[2]
Material: Er5TmCuTe2
Method: DFT, GGA-PBE
State: optimized geometry

Properties
Magnetization = 0.06 μB/f.u.
VASP energy = -4.76 eV per atom

Cell and atoms, written as CIF:
```
data_Er5TmCuTe2
_chemical_formula_sum 'Er5 Tm1 Cu1 Te2'
_cell_length_a 3.8973
_cell_length_b 8.3458
_cell_length_c 8.3458
_cell_angle_alpha 120.08
_cell_angle_beta 90.00
_cell_angle_gamma 90.00
_space_group_name_H-M_alt 'P 1'
_space_group_IT_number 1
loop_
_space_group_symop_operation_xyz
'x,y,z'
loop_
_atom_site_label
_atom_site_fract_x
_atom_site_fract_y
_atom_site_fract_z
Er1 0.0000 0.0000 0.0000
Er2 0.0000 0.5137 0.7562
Er3 0.0000 0.7562 0.5137
Er4 0.5000 0.1595 0.7568
Er5 0.5000 0.7568 0.1595
Tm1 0.5000 0.3551 0.3551
Cu1 0.5000 0.7559 0.7559
Te1 0.0000 0.0903 0.4233
Te2 0.0000 0.4233 0.0903
```


[3]
Material: Ac2Ho
Method: DFT, GGA-PBE
State: optimized geometry

Properties
Magnetization = 2.03 μB/f.u.
VASP energy = -2.11 eV per atom
Formation enthalpy at 0 K = 2.154 eV/atom

Cell and atoms, written as CIF:
```
data_Ac2Ho
_chemical_formula_sum 'Ac4 Ho2'
_cell_length_a 10.3017
_cell_length_b 10.3017
_cell_length_c 10.3017
_cell_angle_alpha 60.00
_cell_angle_beta 60.00
_cell_angle_gamma 60.00
_space_group_name_H-M_alt 'P 1'
_space_group_IT_number 1
loop_
_space_group_symop_operation_xyz
'x,y,z'
loop_
_atom_site_label
_atom_site_fract_x
_atom_site_fract_y
_atom_site_fract_z
Ac1 0.0000 0.0000 0.0000
Ac2 0.0000 0.0000 0.5000
Ac3 0.0000 0.5000 0.0000
Ac4 0.5000 0.0000 0.0000
Ho1 0.1250 0.1250 0.1250
Ho2 0.8750 0.8750 0.8750
```


[4]
Material: Bi2Ir
Method: DFT, GGA-PBE
State: optimized geometry

Properties
Magnetization = 0.00 μB/f.u.
VASP energy = -5.51 eV per atom

Cell and atoms, written as CIF:
```
data_Bi2Ir
_chemical_formula_sum 'Bi8 Ir4'
_cell_length_a 6.9034
_cell_length_b 6.9034
_cell_length_c 5.9822
_cell_angle_alpha 90.00
_cell_angle_beta 90.00
_cell_angle_gamma 90.00
_space_group_name_H-M_alt 'P 1'
_space_group_IT_number 1
loop_
_space_group_symop_operation_xyz
'x,y,z'
loop_
_atom_site_label
_atom_site_fract_x
_atom_site_fract_y
_atom_site_fract_z
Bi1 0.1663 0.3337 0.0000
Bi2 0.1663 0.6663 0.5000
Bi3 0.3337 0.1663 0.5000
Bi4 0.3337 0.8337 0.0000
Bi5 0.6663 0.1663 0.0000
Bi6 0.6663 0.8337 0.5000
Bi7 0.8337 0.3337 0.5000
Bi8 0.8337 0.6663 0.0000
Ir1 0.0000 0.0000 0.2500
Ir2 0.0000 0.0000 0.7500
Ir3 0.5000 0.5000 0.2500
Ir4 0.5000 0.5000 0.7500
```